Entry 1:
Here is a relaxed BeNi2PtO6 crystal from the Alexandria database. Energies are from PBE with a Hubbard U.

Results
Space group: P4mm (99)
Total DFT energy (no corrections), eV/atom: -4.95

a b c (Å): 3.8421 5.5277 5.5277
angles (deg): 90.00 90.00 90.00
With the nearest neighbours (Å) after each atom.
Positions (direct):
O 0.7430 0.7600 0.2400  1 Be 1.92, 2 Ni 2.00, 1 Pt 2.04
O 0.7430 0.2400 0.7600  1 Be 1.92, 2 Ni 2.00, 1 Pt 2.04
O 0.7430 0.7600 0.7600  1 Be 1.92, 2 Ni 2.00, 1 Pt 2.04
O 0.2231 0.0000 0.0000  1 Be 1.58
O 0.7430 0.2400 0.2400  1 Be 1.92, 2 Ni 2.00, 1 Pt 2.04
O 0.2046 0.5000 0.5000  2 Pt 1.90-1.94
Be 0.6350 0.0000 0.0000  1 O 1.58
Ni 0.8562 0.0000 0.5000  4 O 2.00
Ni 0.8562 0.5000 0.0000  4 O 2.00
Pt 0.6995 0.5000 0.5000  6 O 1.90-2.04


Entry 2:
Here is a relaxed PuBeNiO5 crystal from the Alexandria database. Energies are from PBE with a Hubbard U.

Results
Space group: C2/c (15)
Total DFT energy (no corrections), eV/atom: -7.67

a b c (Å): 5.3812 5.3812 7.8804
angles (deg): 104.02 104.02 111.34
With the nearest neighbours (Å) after each atom.
Positions (direct):
O 0.6546 0.0378 0.3305  1 Be 1.65
O 0.2530 0.4054 0.5847  1 Be 1.68
O 0.8972 0.1028 0.7500  1 Ni 1.90
O 0.5946 0.7470 0.9153  1 Be 1.68
O 0.9622 0.3454 0.1695  1 Be 1.65
O 0.1028 0.8972 0.2500  1 Ni 1.90
O 0.3454 0.9622 0.6695  1 Be 1.65
O 0.0378 0.6546 0.8305  1 Be 1.65
O 0.7470 0.5946 0.4153  1 Be 1.68
O 0.4054 0.2530 0.0847  1 Be 1.68
Pu 0.0000 0.0000 0.0000  4 O 1.94-2.12
Pu 0.0000 0.0000 0.5000  4 O 1.94-2.12
Be 0.6996 0.3004 0.2500  4 O 1.65-1.68
Be 0.3004 0.6996 0.7500  4 O 1.65-1.68
Ni 0.3163 0.6837 0.2500  3 O 1.90-1.92
Ni 0.6837 0.3163 0.7500  3 O 1.90-1.92


Entry 3:
Here is a relaxed PuBeNiO6 crystal from the Alexandria database. Energies are from PBE with a Hubbard U.

Results
Space group: P-31c (163)
Total DFT energy (no corrections), eV/atom: -7.31

a b c (Å): 4.9653 4.9653 8.8720
angles (deg): 90.00 90.00 120.00
With the nearest neighbours (Å) after each atom.
Positions (direct):
Pu 0.3333 0.6667 0.2500  6 O 1.98
Pu 0.6667 0.3333 0.7500  6 O 1.98
Be 0.6667 0.3333 0.2500  6 O 1.86
Be 0.3333 0.6667 0.7500  6 O 1.86
O 0.0192 0.3562 0.6348  1 Be 1.86, 1 Pu 1.98
O 0.3562 0.3370 0.3652  1 Be 1.86, 1 Pu 1.98
O 0.0192 0.6630 0.8652  1 Be 1.86, 1 Pu 1.98
O 0.9808 0.3370 0.1348  1 Be 1.86, 1 Pu 1.98
O 0.6630 0.0192 0.3652  1 Be 1.86, 1 Pu 1.98
O 0.3562 0.0192 0.1348  1 Be 1.86, 1 Pu 1.98
O 0.9808 0.6438 0.3652  1 Be 1.86, 1 Pu 1.98
O 0.6630 0.6438 0.1348  1 Be 1.86, 1 Pu 1.98
O 0.6438 0.9808 0.8652  1 Be 1.86, 1 Pu 1.98
O 0.6438 0.6630 0.6348  1 Be 1.86, 1 Pu 1.98
O 0.3370 0.9808 0.6348  1 Be 1.86, 1 Pu 1.98
O 0.3370 0.3562 0.8652  1 Be 1.86, 1 Pu 1.98
Ni 0.0000 0.0000 0.5000  6 O 2.10
Ni 0.0000 0.0000 0.0000  6 O 2.10


Entry 4:
Here is a relaxed Pu2BeNiO8 crystal from the Alexandria database. Energies are from PBE with a Hubbard U.

Results
Space group: Cmmm (65)
Total DFT energy (no corrections), eV/atom: -8.36

a b c (Å): 4.5013 4.5013 6.8984
angles (deg): 89.97 90.03 92.36
With the nearest neighbours (Å) after each atom.
Positions (direct):
O 0.2050 0.7950 0.7529  1 Pu 1.92
O 0.7953 0.2047 0.7531  1 Pu 1.92
O 0.2047 0.7953 0.2469  1 Pu 1.92
O 0.3037 0.3037 0.5000  1 Ni 1.89
O 0.7950 0.2050 0.2471  1 Pu 1.92
O 0.7322 0.7322 0.0000  1 Be 1.67
O 0.6963 0.6963 0.5000  1 Ni 1.89
O 0.2678 0.2678 0.0000  1 Be 1.67
Pu 0.4999 0.5001 0.2457  4 O 1.92-2.14
Pu 0.5001 0.4999 0.7543  4 O 1.92-2.14
Ni 0.0000 0.0000 0.5000  2 O 1.89
Be 0.0000 0.0000 0.0000  2 O 1.67


Entry 5:
Here is a relaxed RbBeNiO2 crystal from the Alexandria database. Energies are from PBE with a Hubbard U.

Results
Relative energy among the computed polymorphs, meV per atom: 3178
Space group: P4/mmm (123)

a b c (Å): 4.4470 4.9432 4.4470
angles (deg): 90.00 90.00 90.00
With the nearest neighbours (Å) after each atom.
Positions (direct):
O 0.5000 0.0000 0.0000  2 Rb 2.22
O 0.0000 0.0000 0.5000  2 Rb 2.22
Ni 0.5000 0.5000 0.5000  4 Be 3.14, 8 O 3.32
Be 0.0000 0.5000 0.0000  2 Rb 2.47
Rb 0.0000 0.0000 0.0000  4 O 2.22, 2 Be 2.47


Entry 6:
Here is a relaxed RbBeNiO2 crystal from the Alexandria database. Energies are from PBE with a Hubbard U.

Results
Relative energy among the computed polymorphs, meV per atom: 0
Space group: P2/c (13)

a b c (Å): 3.7479 6.2374 6.4659
angles (deg): 99.78 90.00 90.00
With the nearest neighbours (Å) after each atom.
Positions (direct):
Ni 0.4891 0.0000 0.2500  4 O 2.13-2.16
Ni 0.5109 0.0000 0.7500  4 O 2.13-2.16
O 0.7346 0.8204 0.9716  1 Be 1.49
O 0.7346 0.1796 0.5284  1 Be 1.49
O 0.2654 0.1796 0.0284  1 Be 1.49
O 0.2654 0.8204 0.4716  1 Be 1.49
Be 0.0000 0.0000 0.5000  2 O 1.49
Be 0.0000 0.0000 0.0000  2 O 1.49
Rb 0.2363 0.5000 0.7500  6 O 2.91-2.93
Rb 0.7637 0.5000 0.2500  6 O 2.91-2.93


The evaluated total magnetization for the records listed, in turn: 5.21, 4.00, 3.98, 6.00, 1.35, 2.00 μB/cell.